No. 1
A geometry-optimized Cd4PSeF2 structure. Source: the Alexandria database, functional PBE-GGA.

Spin magnetization = 0.00 μB/f.u.
Formation energy from raw total energies = -769 meV/atom
VASP energy = -0.1031 hartree per atom

abc: 10.272 13.110 7.267
angles: 90.00 134.71 90.00
Space group C2/c (No. 15)
Symmetry-distinct sites (fractional):
Cd1 0.001 0.201 0.468 (multiplicity 8)
Cd2 0.231 0.470 0.982 (multiplicity 8)
P1 0.000 0.000 0.000 (multiplicity 4)
Se1 0.250 0.250 0.000 (multiplicity 4)
F1 0.000 0.500 0.000 (multiplicity 4)
F2 0.250 0.250 0.500 (multiplicity 4)


No. 2
A geometry-optimized SrCdPF structure. Source: the Alexandria database, functional PBE-GGA.

Spin magnetization = 0.00 μB/f.u.
Formation energy from raw total energies = -1805 meV/atom
VASP energy = -0.1571 hartree per atom

abc: 4.255 4.255 9.173
angles: 90.00 90.00 90.00
Space group P4/nmm (No. 129, origin choice 2)
Symmetry-distinct sites (fractional):
Sr1 0.250 0.250 0.148 (multiplicity 2)
Cd1 0.250 0.750 0.500 (multiplicity 2)
P1 0.250 0.250 0.684 (multiplicity 2)
F1 0.250 0.750 0.000 (multiplicity 2)


No. 3
A geometry-optimized Tl2CdPF structure. Source: the Alexandria database, functional PBE-GGA.

Spin magnetization = 0.00 μB/f.u.
Formation energy from raw total energies = -201 meV/atom
VASP energy = -0.1024 hartree per atom

abc: 5.137 5.137 4.827
angles: 90.00 90.00 90.00
Space group P4/mmm (No. 123)
Symmetry-distinct sites (fractional):
Tl1 0.000 0.500 0.000 (multiplicity 2)
Cd1 0.000 0.000 0.500 (multiplicity 1)
P1 0.500 0.500 0.500 (multiplicity 1)
F1 0.000 0.000 0.000 (multiplicity 1)


No. 4
A geometry-optimized PaCd2F8 structure. Source: the Alexandria database, functional PBE-GGA.

Spin magnetization = 0.77 μB/f.u.
Formation energy from raw total energies = -2863 meV/atom
Energy relative to the lowest polymorph listed for this composition = 0 meV/atom
VASP energy = -0.1931 hartree per atom

abc: 14.296 4.023 5.500
angles: 90.00 105.23 90.00
Space group C2/m (No. 12)
Symmetry-distinct sites (fractional):
Pa1 0.000 0.000 0.000 (multiplicity 2)
Cd1 0.199 0.500 0.708 (multiplicity 4)
F1 0.043 0.500 0.825 (multiplicity 4)
F2 0.082 0.000 0.385 (multiplicity 4)
F3 0.157 0.000 0.946 (multiplicity 4)
F4 0.216 0.500 0.317 (multiplicity 4)


No. 5
A geometry-optimized PaCdF3 structure. Source: the Alexandria database, functional PBE-GGA.

Spin magnetization = 1.84 μB/f.u.
Formation energy from raw total energies = -2478 meV/atom
VASP energy = -0.2089 hartree per atom

abc: 4.712 4.712 4.712
angles: 90.00 90.00 90.00
Space group Pm-3m (No. 221)
Symmetry-distinct sites (fractional):
Pa1 0.000 0.000 0.000 (multiplicity 1)
Cd1 0.500 0.500 0.500 (multiplicity 1)
F1 0.000 0.000 0.500 (multiplicity 3)


No. 6
A geometry-optimized PaCdF6 structure. Source: the Alexandria database, functional PBE-GGA.

Spin magnetization = 1.00 μB/f.u.
Formation energy from raw total energies = -3207 meV/atom
VASP energy = -0.2173 hartree per atom

abc: 5.7521 5.7521 10.7803
angles: 90.00 90.00 120.00
Space group P-31c (No. 163)
Symmetry-distinct sites (fractional):
Pa1 0.0000 0.0000 0.0000 (multiplicity 2)
Cd1 0.3333 0.6667 0.2500 (multiplicity 2)
F1 0.0523 0.3333 0.1211 (multiplicity 12)


No. 7
A geometry-optimized PaCd2F8 structure. Source: the Alexandria database, functional PBE-GGA.

Spin magnetization = 0.98 μB/f.u.
Formation energy from raw total energies = -2795 meV/atom
Energy relative to the lowest polymorph listed for this composition = 68 meV/atom
VASP energy = -0.1906 hartree per atom

abc: 13.156 3.735 6.223
angles: 90.00 118.12 90.00
Space group C2/m (No. 12)
Symmetry-distinct sites (fractional):
Pa1 0.000 0.000 0.000 (multiplicity 2)
Cd1 0.172 0.500 0.672 (multiplicity 4)
F1 0.000 0.500 0.299 (multiplicity 4)
F2 0.128 0.500 0.128 (multiplicity 4)
F3 0.159 0.000 0.426 (multiplicity 4)
F4 0.159 0.000 0.892 (multiplicity 4)


No. 8
A geometry-optimized Pa2CdF11 structure. Source: the Alexandria database, functional PBE-GGA.

Spin magnetization = 1.00 μB/f.u.
Formation energy from raw total energies = -3473 meV/atom
VASP energy = -0.2339 hartree per atom

abc: 8.564 10.415 11.019
angles: 90.00 90.00 90.00
Space group Ibam (No. 72)
Symmetry-distinct sites (fractional):
Pa1 0.150 0.183 0.000 (multiplicity 8)
Cd1 0.000 0.500 0.250 (multiplicity 4)
F1 0.000 0.000 0.000 (multiplicity 4)
F2 0.093 0.322 0.140 (multiplicity 16)
F3 0.128 0.212 0.500 (multiplicity 8)
F4 0.227 0.425 0.364 (multiplicity 16)